! Tl5CdBi4, relaxed, DFT PBE; values from VASP
&SYSTEM
  ibrav = 0, nat = 10, ntyp = 3
/
ATOMIC_SPECIES
Tl 204.38 Tl.upf
Bi 208.98 Bi.upf
Cd 112.41 Cd.upf
CELL_PARAMETERS angstrom
-3.4079 0.2035 -0.6182
-0.6345 -0.3043 3.3973
1.0783 25.6468 2.4988
ATOMIC_POSITIONS crystal
Tl 0.5000 0.5000 0.7028
Tl 0.5000 0.5000 0.2972
Tl 0.5000 0.5000 0.9053
Tl 0.5000 0.5000 0.0947
Tl 0.5000 0.5000 0.5000
Bi 0.0000 0.0000 0.3995
Bi 0.0000 0.0000 0.8037
Bi 0.0000 0.0000 0.6005
Bi 0.0000 0.0000 0.1963
Cd 0.0000 0.0000 0.0000
! spin magnetization = 0.00 μB/f.u.
! space-group type = P4/mmm, No. 123
! calculated density = 10.539 Mg/m³
! E_form = 0.005 eV/atom